Record 1
Entry from the Alexandria database: a geometry-optimized Mg2CuReSb structure (PBE).

```
Mg2CuReSb
1.0
5.101 0.000 0.000
0.000 5.101 0.000
0.000 0.000 5.004
Mg Cu Re Sb
2 1 1 1
direct
0.000 0.500 0.000
0.500 0.000 0.000
0.000 0.000 0.500
0.500 0.500 0.000
0.500 0.500 0.500
```

For the calculated density, the calculation gives 5.4 g/cm3. Its uncorrected energy is -0.2910 Ry per atom. For the total moment, the calculation gives 0.00 μB per cell.


Record 2
Entry from the Alexandria database: a geometry-optimized Y2MgCuRe structure (PBE).

```
Y2MgCuRe
1.0
5.321 0.000 0.000
0.000 5.321 0.000
0.000 0.000 4.831
Y Mg Cu Re
2 1 1 1
direct
0.000 0.500 0.000
0.500 0.000 0.000
0.000 0.000 0.500
0.500 0.500 0.500
0.500 0.500 0.000
```

For the calculated density, the calculation gives 5.5 g/cm3. Its formation energy is 267 kJ/mol of formula units. For the total moment, the calculation gives 0.00 μB per cell.


Record 3
Entry from the Alexandria database: a geometry-optimized MgCu2Rh structure (PBE).

```
MgCu2Rh
1.0
-1.805 1.805 9.202
1.805 -1.805 9.202
1.805 1.805 -9.202
Mg Cu Rh
2 4 2
direct
0.000 0.000 0.000
0.750 0.250 0.500
0.134 0.625 0.009
0.375 0.384 0.509
0.616 0.125 0.991
0.875 0.866 0.491
0.250 0.750 0.500
0.500 0.500 0.000
```

For the calculated density, the calculation gives 7.0 g/cm3. Its formation energy is 51 kJ/mol of formula units. For the total moment, the calculation gives 0.00 μB per cell.


Record 4
Entry from the Alexandria database: a geometry-optimized MgCuRh structure (PBE).

```
MgCuRh
1.0
-1.598 1.598 4.277
1.598 -1.598 4.277
1.598 1.598 -4.277
Mg Cu Rh
1 1 1
direct
0.000 0.000 0.000
0.327 0.327 0.000
0.670 0.670 0.000
```

For the calculated density, the calculation gives 7.3 g/cm3. Its formation energy is -58 kJ/mol of formula units. Its energy relative to the lowest polymorph listed for this composition is 16 meV/atom. For the total moment, the calculation gives 0.00 μB per cell.


Record 5
Entry from the Alexandria database: a geometry-optimized MgCu2Rh structure (PBE).

```
MgCu2Rh
1.0
3.145 0.000 0.000
0.000 3.145 0.000
0.000 0.000 5.731
Mg Cu Rh
1 2 1
direct
0.000 0.000 0.000
0.500 0.500 0.264
0.500 0.500 0.736
0.000 0.000 0.500
```

For the calculated density, the calculation gives 7.4 g/cm3. Its formation energy is -22 kJ/mol of formula units. For the total moment, the calculation gives 0.00 μB per cell.


Record 6
Entry from the Alexandria database: a geometry-optimized Mg7CuRh4 structure (PBE).

```
Mg7CuRh4
1.0
6.385 -2.326 0.000
6.385 2.326 0.000
-5.561 0.000 7.348
Mg Cu Rh
7 1 4
direct
0.000 0.000 0.000
0.169 0.169 0.614
0.282 0.282 0.133
0.430 0.430 0.658
0.570 0.570 0.342
0.718 0.718 0.867
0.831 0.831 0.386
0.500 0.500 0.000
0.067 0.067 0.787
0.194 0.194 0.348
0.806 0.806 0.652
0.933 0.933 0.213
```

For the calculated density, the calculation gives 4.9 g/cm3. Its formation energy is -196 kJ/mol of formula units. For the total moment, the calculation gives 0.00 μB per cell.


Record 7
Entry from the Alexandria database: a geometry-optimized Mg12Cu3Rh5 structure (PBE).

```
Mg12Cu3Rh5
1.0
-7.607 7.607 7.607
7.607 -7.607 7.607
7.607 7.607 -7.607
Mg Cu Rh
48 12 20
direct
0.052 0.223 0.123
0.052 0.329 0.929
0.071 0.623 0.401
0.071 0.948 0.671
0.099 0.723 0.671
0.099 0.877 0.429
0.123 0.052 0.223
0.123 0.571 0.901
0.171 0.223 0.599
0.171 0.448 0.571
0.223 0.123 0.052
0.223 0.599 0.171
0.277 0.329 0.901
0.277 0.448 0.377
0.329 0.901 0.277
0.329 0.929 0.052
0.377 0.277 0.448
0.377 0.599 0.929
0.401 0.071 0.623
0.401 0.829 0.777
0.429 0.099 0.877
0.429 0.829 0.552
0.448 0.377 0.277
0.448 0.571 0.171
0.552 0.429 0.829
0.552 0.623 0.723
0.571 0.171 0.448
0.571 0.901 0.123
0.599 0.171 0.223
0.599 0.929 0.377
0.623 0.401 0.071
0.623 0.723 0.552
0.671 0.071 0.948
0.671 0.099 0.723
0.723 0.552 0.623
0.723 0.671 0.099
0.777 0.401 0.829
0.777 0.877 0.948
0.829 0.552 0.429
0.829 0.777 0.401
0.877 0.429 0.099
0.877 0.948 0.777
0.901 0.123 0.571
0.901 0.277 0.329
0.929 0.052 0.329
0.929 0.377 0.599
0.948 0.671 0.071
0.948 0.777 0.877
0.125 0.250 0.375
0.125 0.375 0.750
0.250 0.375 0.125
0.250 0.875 0.625
0.375 0.125 0.250
0.375 0.750 0.125
0.625 0.250 0.875
0.625 0.875 0.750
0.750 0.125 0.375
0.750 0.625 0.875
0.875 0.625 0.250
0.875 0.750 0.625
0.000 0.000 0.000
0.000 0.000 0.500
0.000 0.500 0.000
0.000 0.500 0.500
0.125 0.750 0.875
0.125 0.875 0.250
0.250 0.125 0.875
0.250 0.625 0.375
0.375 0.250 0.625
0.375 0.625 0.750
0.500 0.000 0.000
0.500 0.000 0.500
0.500 0.500 0.000
0.500 0.500 0.500
0.625 0.375 0.250
0.625 0.750 0.375
0.750 0.375 0.625
0.750 0.875 0.125
0.875 0.125 0.750
0.875 0.250 0.125
```

For the calculated density, the calculation gives 3.8 g/cm3. Its formation energy is 626 kJ/mol of formula units. For the total moment, the calculation gives 0.00 μB per cell.


Record 8
Entry from the Alexandria database: a geometry-optimized Mg2Cu2Rh structure (PBE).

```
Mg2Cu2Rh
1.0
-1.962 1.962 5.314
1.962 -1.962 5.314
1.962 1.962 -5.314
Mg Cu Rh
2 2 1
direct
0.250 0.750 0.500
0.750 0.250 0.500
0.102 0.102 0.000
0.898 0.898 0.000
0.500 0.500 0.000
```

For the calculated density, the calculation gives 5.7 g/cm3. Its formation energy is 164 kJ/mol of formula units. Its energy relative to the lowest polymorph listed for this composition is 548 meV/atom. For the total moment, the calculation gives 0.00 μB per cell.


> Number 6 is which compound?

Mg7CuRh4


> What is the formula in the fourth record?

MgCuRh


Repeat the second record exactly.
Entry from the Alexandria database: a geometry-optimized Y2MgCuRe structure (PBE).

```
Y2MgCuRe
1.0
5.321 0.000 0.000
0.000 5.321 0.000
0.000 0.000 4.831
Y Mg Cu Re
2 1 1 1
direct
0.000 0.500 0.000
0.500 0.000 0.000
0.000 0.000 0.500
0.500 0.500 0.500
0.500 0.500 0.000
```

For the calculated density, the calculation gives 5.5 g/cm3. Its formation energy is 267 kJ/mol of formula units. For the total moment, the calculation gives 0.00 μB per cell.